The following is a DFT calculation (PBE) of crystalline Ta5VC6 at its relaxed geometry.

Values from the calculation:
ΔH_f (0 K): -0.5384 eV/atom
space group: C2/m (12)
N(E_F): 0.3450 states/eV per atom

Cell: 5.439 5.433 5.444 Å, 60.07 80.40 70.47°
Fractional positions:
C: 0.753 0.082 0.330
C: 0.247 0.588 0.330
C: 0.248 0.247 0.000
C: 0.752 0.753 0.000
C: 0.753 0.412 0.670
C: 0.247 0.918 0.670
V: 0.000 0.000 0.000
Ta: 0.500 0.165 0.671
Ta: 0.000 0.334 0.333
Ta: 0.500 0.500 0.000
Ta: 0.000 0.666 0.667
Ta: 0.500 0.835 0.329

---

The following is a DFT calculation (PBE) of crystalline LiTbPr2Te5 at its relaxed geometry.

Values from the calculation:
space group: Cmc2_1 (36)
energy relative to the elements, uncorrected: -1.338 eV/atom

Cell: 4.437 9.686 13.288 Å, 90.00 90.00 103.24°
Fractional positions:
Li: 0.558 0.116 0.964
Li: 0.442 0.884 0.464
Tb: 0.802 0.604 0.508
Tb: 0.198 0.396 0.008
Pr: 0.874 0.747 0.802
Pr: 0.106 0.212 0.685
Pr: 0.126 0.253 0.302
Pr: 0.894 0.788 0.185
Te: 0.362 0.724 0.998
Te: 0.688 0.377 0.845
Te: 0.498 0.997 0.783
Te: 0.283 0.566 0.667
Te: 0.952 0.905 0.571
Te: 0.638 0.276 0.498
Te: 0.312 0.623 0.345
Te: 0.502 0.003 0.283
Te: 0.717 0.434 0.167
Te: 0.048 0.095 0.071

---

The following is a DFT calculation (PBE) of crystalline Ag2PtAu3 at its relaxed geometry.

Values from the calculation:
ΔH_f (0 K): 0.0558 eV/atom
space group: C2/c (15)
offset from the most stable computed form: 0.0719 eV/atom
N(E_F): 0.2546 states/eV per atom

Cell: 5.323 6.488 6.488 Å, 76.42 92.31 92.31°
Fractional positions:
Ag: 0.623 0.128 0.625
Ag: 0.123 0.625 0.128
Ag: 0.877 0.375 0.872
Ag: 0.377 0.872 0.375
Pt: 0.750 0.942 0.058
Pt: 0.250 0.058 0.942
Au: 0.250 0.427 0.573
Au: 0.750 0.573 0.427
Au: 0.000 0.822 0.687
Au: 0.500 0.313 0.178
Au: 0.500 0.687 0.822
Au: 0.000 0.178 0.313

---

Results for M_tot: 0.0, 0.0, 0.0 (in μB/f.u., following the order of the records).